A relaxed AlAg2 crystal, computed with PBEsol.

Structure (CIF):
```
data_AlAg2
_cell_length_a 8.623
_cell_length_b 4.878
_cell_length_c 4.565
_cell_angle_alpha 90.00
_cell_angle_beta 90.00
_cell_angle_gamma 90.00
_symmetry_space_group_name_H-M 'C m c m'
_symmetry_Int_Tables_number 63
_symmetry_space_group_name_Hall '-C 2c 2'
loop_
_atom_site_label
_atom_site_fract_x
_atom_site_fract_y
_atom_site_fract_z
Al1 0.000 0.185 0.250
Ag1 0.161 0.313 0.750
```

DOS at the Fermi energy: 0.282 states/eV/atom
calculated formation energy: -0.12 eV/atom



A relaxed Al3Ag crystal, computed with PBEsol.

Structure (CIF):
```
data_Al3Ag
_cell_length_a 4.031
_cell_length_b 4.011
_cell_length_c 8.049
_cell_angle_alpha 90.00
_cell_angle_beta 90.00
_cell_angle_gamma 90.00
_symmetry_space_group_name_H-M 'P m m a'
_symmetry_Int_Tables_number 51
_symmetry_space_group_name_Hall '-P 2a 2a'
loop_
_atom_site_label
_atom_site_fract_x
_atom_site_fract_y
_atom_site_fract_z
Al1 0.250 0.000 0.122
Al2 0.250 0.000 0.626
Al3 0.250 0.500 0.372
Ag1 0.250 0.500 0.873
```

DOS at the Fermi energy: 0.276 states/eV/atom
calculated formation energy: -0.01 eV/atom



- Among the records above, which one has the highest DOS at the Fermi energy?
  AlAg2



- Which formula does entry 1 have?
  AlAg2



- Among the records above, which one has the highest DOS at the Fermi energy?
  AlAg2